# PaBeMoO6 PBE with a Hubbard U optimized geometry
# total DFT energy (no corrections): -7.97 eV per atom
# space group: No. 149
# density of states at the Fermi level: 4.4 states/eV per cell
data_PaBeMoO6
_chemical_formula_sum 'Pa1 Be1 Mo1 O6'
_symmetry_space_group_name_H-M 'P 1'
_symmetry_Int_Tables_number 1
_symmetry_space_group_name_Hall 'P 1'
_cell_length_a 4.9705
_cell_length_b 4.9705
_cell_length_c 4.8500
_cell_angle_alpha 90.00
_cell_angle_beta 90.00
_cell_angle_gamma 120.00
loop_
_atom_site_label
_atom_site_type_symbol
_atom_site_fract_x
_atom_site_fract_y
_atom_site_fract_z
Pa1 Pa 0.0000 0.0000 0.0000
Be1 Be 0.3333 0.6667 0.5000
Mo1 Mo 0.6667 0.3333 0.5000
O1 O 0.0143 0.3593 0.2767
O2 O 0.0143 0.6550 0.7233
O3 O 0.3450 0.3593 0.7233
O4 O 0.3450 0.9857 0.2767
O5 O 0.6407 0.6550 0.2767
O6 O 0.6407 0.9857 0.7233